A relaxed structure of CdB, computed with PBE.

Results
The calculation puts the energy relative to the elements at 504 meV per atom. The value obtained for the size of the total moment is 0.00 μB/atom. For the theoretical density, the calculation gives 5.54 Mg/m³. As for the crystal system: tetragonal.

Cell lengths 9.6871, 9.6871, 3.1488 Å; angles 90.00, 90.00, 90.00 degrees
Closest atoms and distances in Å follow each position.
Space group I4/m (No. 87)
Unique sites:
1 Cd 0.0187 0.2930 0.0000 x8  4 B 2.40-2.64
2 B 0.2276 0.7364 0.0000 x8  2 B 1.65